1.
Here is MgZrAg after structural relaxation from Alexandria. Energies are from PBE.

abc: 4.6181 4.6181 4.6181
angles: 60.00 60.00 60.00
Closest atoms and distances in Å follow each position.
Positions (direct):
Ag (0.7500, 0.7500, 0.7500)  4 Zr 2.83, 4 Mg 2.83
Mg (0.0000, 0.0000, 0.0000)  4 Ag 2.83
Zr (0.5000, 0.5000, 0.5000)  4 Ag 2.83

- Symmetry: No. 216
- Fermi-level density of states: 1.59 states/eV per atom
- E_form: 227 meV/atom
- Theoretical density: 5.3 g cm⁻³

---

2.
Here is Mg2ZrAg after structural relaxation from Alexandria. Energies are from PBE.

abc: 4.8402 4.8402 4.8402
angles: 60.00 60.00 60.00
Closest atoms and distances in Å follow each position.
Positions (direct):
Mg (0.2500, 0.2500, 0.2500)  4 Zr 2.96, 4 Ag 2.96
Mg (0.7500, 0.7500, 0.7500)  4 Zr 2.96, 4 Ag 2.96
Zr (0.0000, 0.0000, 0.0000)  8 Mg 2.96
Ag (0.5000, 0.5000, 0.5000)  8 Mg 2.96

- Symmetry: No. 225
- Fermi-level density of states: 1.04 states/eV per atom
- E_form: 79 meV/atom
- Theoretical density: 5.1 g cm⁻³

---

3.
Here is MgZr2Ag2 after structural relaxation from Alexandria. Energies are from PBE.

abc: 8.1996 8.1996 3.1448
angles: 90.00 90.00 90.00
Closest atoms and distances in Å follow each position.
Positions (direct):
Mg (0.0000, 0.0000, 0.0000)  2 Mg 3.14, 4 Ag 3.25, 8 Zr 3.42
Mg (0.5000, 0.5000, 0.0000)  2 Mg 3.14, 4 Ag 3.25, 8 Zr 3.42
Zr (0.1722, 0.6722, 0.5000)  6 Ag 2.84-2.92, 2 Zr 3.14
Zr (0.6722, 0.8278, 0.5000)  6 Ag 2.84-2.92, 2 Zr 3.14
Zr (0.8278, 0.3278, 0.5000)  6 Ag 2.84-2.92, 2 Zr 3.14
Zr (0.3278, 0.1722, 0.5000)  6 Ag 2.84-2.92, 2 Zr 3.14
Ag (0.3759, 0.8759, 0.0000)  6 Zr 2.84-2.92, 3 Ag 2.88-3.14
Ag (0.8759, 0.6241, 0.0000)  6 Zr 2.84-2.92, 3 Ag 2.88-3.14
Ag (0.6241, 0.1241, 0.0000)  6 Zr 2.84-2.92, 3 Ag 2.88-3.14
Ag (0.1241, 0.3759, 0.0000)  6 Zr 2.84-2.92, 3 Ag 2.88-3.14

- Symmetry: No. 127
- Fermi-level density of states: 0.79 states/eV per atom
- E_form: 29 meV/atom
- Excess energy over the best structure of this formula in the dataset: 0.00 eV per formula unit
- Theoretical density: 6.6 g cm⁻³

---

4.
Here is Mg2ZrAg after structural relaxation from Alexandria. Energies are from PBE.

abc: 6.0612 6.0612 5.1774
angles: 64.71 64.71 29.44
Closest atoms and distances in Å follow each position.
Positions (direct):
Ag (0.7500, 0.7500, 0.7500)  4 Mg 2.83, 4 Zr 3.01, 2 Ag 3.08
Mg (0.0243, 0.0243, 0.9760)  2 Ag 2.83, 6 Mg 3.05-3.08
Mg (0.4757, 0.4757, 0.5240)  2 Ag 2.83, 6 Mg 3.05-3.08
Zr (0.2500, 0.2500, 0.2500)  4 Ag 3.01, 2 Zr 3.08, 4 Mg 3.27

- Symmetry: No. 71
- Fermi-level density of states: 0.98 states/eV per atom
- E_form: 14 meV/atom
- Theoretical density: 4.9 g cm⁻³

---

5.
Here is Mg2ZrAg after structural relaxation from Alexandria. Energies are from PBE.

abc: 3.0757 3.0757 10.2962
angles: 81.52 81.52 59.81
Closest atoms and distances in Å follow each position.
Positions (direct):
Mg (0.0775, 0.0775, 0.7687)  3 Ag 2.94-2.95, 6 Mg 3.07-3.08, 3 Zr 3.26
Mg (0.2580, 0.2580, 0.2318)  3 Ag 2.94, 6 Mg 3.07-3.08, 3 Zr 3.22-3.25
Zr (0.4971, 0.4971, 0.4991)  6 Zr 3.07-3.08, 6 Mg 3.22-3.26
Ag (0.6674, 0.6674, 0.0005)  6 Mg 2.94-2.95, 6 Ag 3.07-3.08

- Symmetry: No. 8
- Fermi-level density of states: 0.70 states/eV per atom
- E_form: -20 meV/atom
- Theoretical density: 5.0 g cm⁻³

---

6.
Here is Mg2ZrAg after structural relaxation from Alexandria. Energies are from PBE.

abc: 4.5079 4.2831 4.2831
angles: 90.00 90.00 90.00
Closest atoms and distances in Å follow each position.
Positions (direct):
Ag (0.5000, 0.0000, 0.5000)  4 Zr 3.03, 8 Mg 3.11
Mg (0.0000, 0.0000, 0.0000)  4 Mg 3.03, 4 Zr 3.11, 4 Ag 3.11
Mg (0.0000, 0.5000, 0.5000)  4 Mg 3.03, 4 Zr 3.11, 4 Ag 3.11
Zr (0.5000, 0.5000, 0.0000)  4 Ag 3.03, 8 Mg 3.11

- Symmetry: No. 123
- Fermi-level density of states: 0.73 states/eV per atom
- E_form: 9 meV/atom
- Theoretical density: 5.0 g cm⁻³